(P)
Density functional theory data (PBE) for a relaxed Sn2SbAu2 crystal.

```
10
Lattice="7.714 0.000 0.000 0.000 7.714 0.000 0.000 0.000 4.007" Properties=species:S:1:pos:R:3 pbc="T T T"
Sb 0.000 0.000 0.000
Sb 3.857 3.857 0.000
Au 2.828 6.685 0.000
Au 6.685 4.886 0.000
Au 4.886 1.029 0.000
Au 1.029 2.828 0.000
Sn 1.291 5.148 2.003
Sn 5.148 6.423 2.003
Sn 6.423 2.566 2.003
Sn 2.566 1.291 2.003
```


(Q)
Density functional theory data (PBE) for a relaxed Sn2SbAu2 crystal.

```
10
Lattice="6.556 0.105 -3.376 -4.087 6.133 -0.269 -0.492 -0.499 6.812" Properties=species:S:1:pos:R:3 pbc="T T T"
Sn -2.741 5.540 0.803
Sn 4.741 0.127 2.254
Sn 1.077 2.176 3.252
Sn 4.230 1.540 -1.293
Sb -2.256 4.192 4.532
Sb 0.924 3.625 -0.054
Au 2.903 1.874 1.214
Au 1.117 5.220 -2.344
Au 0.864 0.591 5.479
Au -0.970 3.815 1.993
```


Last place for stability: (P)


(P)
Density functional theory data (PBE) for a relaxed Sn2SbAu2 crystal.

```
5
Lattice="-3.457 -0.052 1.950 0.731 -3.714 1.196 2.218 0.891 7.999" Properties=species:S:1:pos:R:3 pbc="T T T"
Sb 0.000 0.000 0.000
Au -1.301 -0.522 5.761
Au 0.793 -2.353 5.384
Sn -0.594 -1.288 2.953
Sn 0.086 -1.588 8.192
```


(Q)
Density functional theory data (PBE) for a relaxed Sn2SbAu2 crystal.

```
5
Lattice="4.463 0.000 0.000 0.000 4.463 0.000 2.231 2.231 6.254" Properties=species:S:1:pos:R:3 pbc="T T T"
Sb 0.000 0.000 0.000
Au 2.231 2.231 1.334
Au 4.463 4.463 4.920
Sn 4.463 2.231 3.127
Sn 2.231 4.463 3.127
```


Last place for stability: (Q)